#a
First-principles (GGA-PBE) data for a geometry-optimized YPb2W structure, as listed in the Alexandria database.

Calculated values
density of states at the Fermi level: 1.054 states/eV/atom
total magnetic moment: 0.000 μB per atom

Unit cell a=3.617 b=5.491 c=9.827 alpha=90.00 beta=90.00 gamma=90.00
Space group Cmmm (No. 65)
Symmetry-distinct sites (fractional):
Y  0.000  0.000  0.000
Pb  0.000  0.500  0.273
W  0.000  0.000  0.500

***

#b
First-principles (GGA-PBE) data for a geometry-optimized YPb2W structure, as listed in the Alexandria database.

Calculated values
density of states at the Fermi level: 0.671 states/eV/atom
total magnetic moment: 0.000 μB per atom

Unit cell a=3.734 b=5.457 c=9.584 alpha=90.00 beta=90.00 gamma=90.00
Space group Immm (No. 71)
Symmetry-distinct sites (fractional):
Y  0.000  0.000  0.000
Pb  0.000  0.500  0.230
W  0.000  0.000  0.500

***

#c
First-principles (GGA-PBE) data for a geometry-optimized YPb2W structure, as listed in the Alexandria database.

Calculated values
density of states at the Fermi level: 0.796 states/eV/atom
total magnetic moment: 0.000 μB per atom

Unit cell a=3.297 b=4.956 c=5.953 alpha=90.00 beta=94.03 gamma=90.00
Space group P2/m (No. 10)
Symmetry-distinct sites (fractional):
Y  0.000  0.000  0.000
Pb  0.348  0.500  0.742
W  0.500  0.000  0.500

***

#d
First-principles (GGA-PBE) data for a geometry-optimized YPb2W structure, as listed in the Alexandria database.

Calculated values
density of states at the Fermi level: 0.687 states/eV/atom
total magnetic moment: 0.161 μB per atom

Unit cell a=3.531 b=3.531 c=7.580 alpha=90.00 beta=90.00 gamma=90.00
Space group P4/mmm (No. 123)
Symmetry-distinct sites (fractional):
Y  0.000  0.000  0.000
Pb  0.500  0.500  0.285
W  0.000  0.000  0.500

***

Most stable = #b